DFT (PBEsol) results for crystalline BeTlSe2 at its relaxed geometry.

Calculated values
As for the density of states at the Fermi level: 0.4775 states/eV/atom. The energy above the most stable polymorph in this dataset is 0.0269 eV/atom. Its symmetry is Cm (8). The calculation puts the formation energy (no corrections) at -287.1 meV/atom. The calculation puts the total energy at -3.870 eV per atom. For the calculated volume, the calculation gives 167.8 Å³/cell.

The structure in POSCAR format:
```
BeTlSe2
1.0
6.779 0.000 0.000
0.000 3.582 0.000
-0.865 0.000 6.912
Be Tl Se
2 2 4
Direct
0.000 0.000 0.000
0.500 0.500 0.000
0.232 0.500 0.487
0.732 0.000 0.487
0.320 0.000 0.150
0.479 0.000 0.789
0.820 0.500 0.150
0.979 0.500 0.789
```

=====

DFT (PBEsol) results for crystalline MgZnTc2 at its relaxed geometry.

Calculated values
As for the density of states at the Fermi level: 0.3766 states/eV/atom. The energy above the most stable polymorph in this dataset is 0.0000 eV/atom. Its symmetry is P4mm (99). The calculation puts the total energy at -6.488 eV per atom. For the calculated volume, the calculation gives 60.1 Å³/cell. For the energy of formation from the pure elements, the calculation gives -30 meV/atom.

The structure in POSCAR format:
```
MgZnTc2
1.0
2.993 0.000 0.000
0.000 2.993 0.000
0.000 0.000 6.713
Mg Zn Tc
1 1 2
Direct
0.000 0.000 0.000
0.500 0.500 0.728
0.000 0.000 0.482
0.500 0.500 0.277
```

=====

DFT (PBEsol) results for crystalline SrZnNF2 at its relaxed geometry.

Calculated values
As for the density of states at the Fermi level: 0.5125 states/eV/atom. The energy above the most stable polymorph in this dataset is 0.0000 eV/atom. Its symmetry is P4/mmm (123). The calculation puts the formation energy (no corrections) at -1666.8 meV/atom. The calculation puts the total energy at -4.828 eV per atom. For the calculated volume, the calculation gives 67.3 Å³/cell.

The structure in POSCAR format:
```
SrZnNF2
1.0
4.178 0.000 0.000
0.000 4.178 0.000
0.000 0.000 3.854
Sr Zn N F
1 1 1 2
Direct
0.000 0.000 0.000
0.500 0.500 0.500
0.500 0.500 0.000
0.000 0.500 0.500
0.500 0.000 0.500
```

=====

DFT (PBEsol) results for crystalline MgCdSb at its relaxed geometry.

Calculated values
As for the density of states at the Fermi level: 0.4578 states/eV/atom. The energy above the most stable polymorph in this dataset is 0.0264 eV/atom. Its symmetry is Fmm2 (42). The calculation puts the formation energy (no corrections) at -37.3 meV/atom. The calculation puts the total energy at -2.528 eV per atom. For the calculated volume, the calculation gives 278.6 Å³/cell.

The structure in POSCAR format:
```
MgCdSb
1.0
4.511 0.000 0.000
0.000 4.784 0.000
0.000 0.000 12.908
Mg Cd Sb
4 4 4
Direct
0.000 0.000 0.000
0.000 0.500 0.500
0.500 0.000 0.500
0.500 0.500 0.000
0.000 0.000 0.345
0.000 0.500 0.845
0.500 0.000 0.845
0.500 0.500 0.345
0.000 0.000 0.664
0.000 0.500 0.164
0.500 0.000 0.164
0.500 0.500 0.664
```

=====

DFT (PBEsol) results for crystalline LaSc2Mn at its relaxed geometry.

Calculated values
As for the density of states at the Fermi level: 1.0573 states/eV/atom. The energy above the most stable polymorph in this dataset is 0.1770 eV/atom. Its symmetry is P4/mmm (123). The calculation puts the total energy at -6.795 eV per atom. For the calculated volume, the calculation gives 90.5 Å³/cell. For the energy of formation from the pure elements, the calculation gives 285 meV/atom.

The structure in POSCAR format:
```
LaSc2Mn
1.0
4.353 0.000 0.000
0.000 4.353 0.000
0.000 0.000 4.777
La Sc Mn
1 2 1
Direct
0.000 0.000 0.000
0.000 0.500 0.500
0.500 0.000 0.500
0.500 0.500 0.000
```

=====

DFT (PBEsol) results for crystalline LaHg2Mo at its relaxed geometry.

Calculated values
As for the density of states at the Fermi level: 1.1998 states/eV/atom. Its symmetry is F-43m (216). The calculation puts the total energy at -4.091 eV per atom. For the calculated volume, the calculation gives 367.0 Å³/cell. For the energy of formation from the pure elements, the calculation gives 471 meV/atom.

The structure in POSCAR format:
```
LaHg2Mo
1.0
7.159 0.000 0.000
0.000 7.159 0.000
0.000 0.000 7.159
La Hg Mo
4 8 4
Direct
0.000 0.000 0.000
0.000 0.500 0.500
0.500 0.000 0.500
0.500 0.500 0.000
0.000 0.000 0.500
0.000 0.500 0.000
0.250 0.250 0.250
0.250 0.750 0.750
0.500 0.000 0.000
0.500 0.500 0.500
0.750 0.250 0.750
0.750 0.750 0.250
0.250 0.250 0.750
0.250 0.750 0.250
0.750 0.250 0.250
0.750 0.750 0.750
```

=====

DFT (PBEsol) results for crystalline Cu2As at its relaxed geometry.

Calculated values
As for the density of states at the Fermi level: 0.3153 states/eV/atom. Its symmetry is P4/nmm (129). The calculation puts the total energy at -4.586 eV per atom. For the calculated volume, the calculation gives 82.0 Å³/cell. For the energy of formation from the pure elements, the calculation gives 6 meV/atom.

The structure in POSCAR format:
```
Cu2As
1.0
3.746 0.000 0.000
0.000 3.746 0.000
0.000 0.000 5.842
Cu As
4 2
Direct
0.250 0.250 0.203
0.250 0.750 0.500
0.750 0.250 0.500
0.750 0.750 0.797
0.250 0.250 0.791
0.750 0.750 0.209
```

=====

DFT (PBEsol) results for crystalline AgI at its relaxed geometry.

Calculated values
Its symmetry is P4/nmm (129). The calculation puts the formation energy (no corrections) at -188.9 meV/atom. The calculation puts the total energy at -2.728 eV per atom. For the calculated volume, the calculation gives 120.9 Å³/cell.

The structure in POSCAR format:
```
AgI
1.0
4.321 0.000 0.000
0.000 4.321 0.000
0.000 0.000 6.477
Ag I
2 2
Direct
0.250 0.750 0.000
0.750 0.250 0.000
0.250 0.250 0.288
0.750 0.750 0.712
```

=====

DFT (PBEsol) results for crystalline LaMn2W at its relaxed geometry.

Calculated values
As for the density of states at the Fermi level: 1.5369 states/eV/atom. The energy above the most stable polymorph in this dataset is 0.0000 eV/atom. Its symmetry is P4mm (99). The calculation puts the total energy at -9.142 eV per atom. For the calculated volume, the calculation gives 65.4 Å³/cell. For the energy of formation from the pure elements, the calculation gives 527 meV/atom.

The structure in POSCAR format:
```
LaMn2W
1.0
2.975 0.000 0.000
0.000 2.975 0.000
0.000 0.000 7.389
La Mn W
1 2 1
Direct
0.000 0.000 0.000
0.000 0.000 0.464
0.500 0.500 0.326
0.500 0.500 0.662
```

=====

DFT (PBEsol) results for crystalline SbTe2Au at its relaxed geometry.

Calculated values
As for the density of states at the Fermi level: 0.7389 states/eV/atom. Its symmetry is P4mm (99). The calculation puts the formation energy (no corrections) at 210.3 meV/atom. The calculation puts the total energy at -3.673 eV per atom. For the calculated volume, the calculation gives 101.2 Å³/cell.

The structure in POSCAR format:
```
SbTe2Au
1.0
3.147 0.000 0.000
0.000 3.147 0.000
0.000 0.000 10.214
Sb Te Au
1 2 1
Direct
0.000 0.000 0.000
0.000 0.000 0.584
0.500 0.500 0.271
0.500 0.500 0.807
```

=====

DFT (PBEsol) results for crystalline V3AuC at its relaxed geometry.

Calculated values
As for the density of states at the Fermi level: 0.6519 states/eV/atom. Its symmetry is Pm-3m (221). The calculation puts the total energy at -8.823 eV per atom. For the calculated volume, the calculation gives 61.9 Å³/cell. For the energy of formation from the pure elements, the calculation gives -329 meV/atom.

The structure in POSCAR format:
```
V3AuC
1.0
3.955 0.000 0.000
0.000 3.955 0.000
0.000 0.000 3.955
V Au C
3 1 1
Direct
0.000 0.000 0.500
0.000 0.500 0.000
0.500 0.000 0.000
0.500 0.500 0.500
0.000 0.000 0.000
```

=====

DFT (PBEsol) results for crystalline CuOs2Cl at its relaxed geometry.

Calculated values
As for the density of states at the Fermi level: 1.1030 states/eV/atom. The energy above the most stable polymorph in this dataset is 0.3174 eV/atom. Its symmetry is Fm-3m (225). The calculation puts the formation energy (no corrections) at 1298.0 meV/atom. The calculation puts the total energy at -6.396 eV per atom. For the calculated volume, the calculation gives 211.7 Å³/cell.

The structure in POSCAR format:
```
CuOs2Cl
1.0
5.960 0.000 0.000
0.000 5.960 0.000
0.000 0.000 5.960
Cu Os Cl
4 8 4
Direct
0.000 0.000 0.000
0.000 0.500 0.500
0.500 0.000 0.500
0.500 0.500 0.000
0.250 0.250 0.250
0.250 0.250 0.750
0.250 0.750 0.250
0.250 0.750 0.750
0.750 0.250 0.250
0.750 0.250 0.750
0.750 0.750 0.250
0.750 0.750 0.750
0.000 0.000 0.500
0.000 0.500 0.000
0.500 0.000 0.000
0.500 0.500 0.500
```

=====

DFT (PBEsol) results for crystalline BaGe2O5 at its relaxed geometry.

Calculated values
As for the density of states at the Fermi level: 0.0000 states/eV/atom. Its symmetry is Cmce (64). The calculation puts the formation energy (no corrections) at -2080.9 meV/atom. The calculation puts the total energy at -6.865 eV per atom. For the calculated volume, the calculation gives 392.3 Å³/cell.

The structure in POSCAR format:
```
BaGe2O5
1.0
2.773 -4.942 0.000
2.773 4.942 0.000
0.000 0.000 14.312
Ba Ge O
4 8 20
Direct
0.163 0.837 0.919
0.337 0.663 0.419
0.663 0.337 0.581
0.837 0.163 0.081
0.004 0.996 0.359
0.172 0.828 0.182
0.328 0.672 0.682
0.496 0.504 0.859
0.504 0.496 0.141
0.672 0.328 0.318
0.828 0.172 0.818
0.996 0.004 0.641
0.002 0.498 0.750
0.004 0.996 0.238
0.153 0.334 0.908
0.166 0.347 0.592
0.168 0.832 0.600
0.332 0.668 0.100
0.334 0.153 0.092
0.347 0.166 0.408
0.496 0.504 0.738
0.498 0.002 0.250
0.502 0.998 0.750
0.504 0.496 0.262
0.653 0.834 0.592
0.666 0.847 0.908
0.668 0.332 0.900
0.832 0.168 0.400
0.834 0.653 0.408
0.847 0.666 0.092
0.996 0.004 0.762
0.998 0.502 0.250
```

=====

DFT (PBEsol) results for crystalline CrW2F at its relaxed geometry.

Calculated values
As for the density of states at the Fermi level: 1.0832 states/eV/atom. Its symmetry is Fm-3m (225). The calculation puts the formation energy (no corrections) at 477.7 meV/atom. The calculation puts the total energy at -9.468 eV per atom. For the calculated volume, the calculation gives 209.8 Å³/cell.

The structure in POSCAR format:
```
CrW2F
1.0
5.942 0.000 0.000
0.000 5.942 0.000
0.000 0.000 5.942
Cr W F
4 8 4
Direct
0.000 0.000 0.000
0.000 0.500 0.500
0.500 0.000 0.500
0.500 0.500 0.000
0.250 0.250 0.250
0.250 0.250 0.750
0.250 0.750 0.250
0.250 0.750 0.750
0.750 0.250 0.250
0.750 0.250 0.750
0.750 0.750 0.250
0.750 0.750 0.750
0.000 0.000 0.500
0.000 0.500 0.000
0.500 0.000 0.000
0.500 0.500 0.500
```

=====

DFT (PBEsol) results for crystalline ZnSbMo2 at its relaxed geometry.

Calculated values
As for the density of states at the Fermi level: 1.1101 states/eV/atom. The energy above the most stable polymorph in this dataset is 0.0823 eV/atom. Its symmetry is P4/mmm (123). The calculation puts the formation energy (no corrections) at 388.1 meV/atom. The calculation puts the total energy at -7.031 eV per atom. For the calculated volume, the calculation gives 64.1 Å³/cell.

The structure in POSCAR format:
```
ZnSbMo2
1.0
4.492 0.000 0.000
0.000 4.492 0.000
0.000 0.000 3.179
Zn Sb Mo
1 1 2
Direct
0.000 0.000 0.000
0.500 0.500 0.000
0.000 0.500 0.500
0.500 0.000 0.500
```

=====

DFT (PBEsol) results for crystalline GaRuAu3 at its relaxed geometry.

Calculated values
As for the density of states at the Fermi level: 0.7275 states/eV/atom. Its symmetry is Pm-3m (221). The calculation puts the total energy at -3.946 eV per atom. For the calculated volume, the calculation gives 121.1 Å³/cell. For the energy of formation from the pure elements, the calculation gives 1111 meV/atom.

The structure in POSCAR format:
```
GaRuAu3
1.0
4.948 0.000 0.000
0.000 4.948 0.000
0.000 0.000 4.948
Ga Ru Au
1 1 3
Direct
0.000 0.000 0.000
0.500 0.500 0.500
0.000 0.500 0.500
0.500 0.000 0.500
0.500 0.500 0.000
```

=====

DFT (PBEsol) results for crystalline ZnCu2SnS4 at its relaxed geometry.

Calculated values
As for the density of states at the Fermi level: 0.0631 states/eV/atom. The energy above the most stable polymorph in this dataset is 0.0022 eV/atom. Its symmetry is I-42m (121). The calculation puts the formation energy (no corrections) at -472.9 meV/atom. The calculation puts the total energy at -4.479 eV per atom. For the calculated volume, the calculation gives 310.0 Å³/cell.

The structure in POSCAR format:
```
ZnCu2SnS4
1.0
5.368 0.000 0.000
0.000 5.368 0.000
0.000 0.000 10.759
Zn Cu Sn S
2 4 2 8
Direct
0.000 0.000 0.000
0.500 0.500 0.500
0.000 0.500 0.250
0.000 0.500 0.750
0.500 0.000 0.250
0.500 0.000 0.750
0.000 0.000 0.500
0.500 0.500 0.000
0.241 0.241 0.865
0.241 0.759 0.135
0.259 0.259 0.365
0.259 0.741 0.635
0.741 0.259 0.635
0.741 0.741 0.365
0.759 0.241 0.135
0.759 0.759 0.865
```

=====

DFT (PBEsol) results for crystalline YZr2Br at its relaxed geometry.

Calculated values
As for the density of states at the Fermi level: 1.3474 states/eV/atom. Its symmetry is Pmmm (47). The calculation puts the formation energy (no corrections) at -69.0 meV/atom. The calculation puts the total energy at -6.787 eV per atom. For the calculated volume, the calculation gives 93.6 Å³/cell.

The structure in POSCAR format:
```
YZr2Br
1.0
3.270 0.000 0.000
0.000 5.100 0.000
0.000 0.000 5.613
Y Zr Br
1 2 1
Direct
0.000 0.000 0.000
0.000 0.500 0.500
0.500 0.000 0.500
0.500 0.500 0.000
```

=====

DFT (PBEsol) results for crystalline K2InAu at its relaxed geometry.

Calculated values
As for the density of states at the Fermi level: 0.4420 states/eV/atom. Its symmetry is Imm2 (44). The calculation puts the total energy at -2.417 eV per atom. For the calculated volume, the calculation gives 269.0 Å³/cell. For the energy of formation from the pure elements, the calculation gives -124 meV/atom.

The structure in POSCAR format:
```
K2InAu
1.0
4.188 0.000 0.000
0.000 5.810 0.000
0.000 0.000 11.057
K In Au
4 2 2
Direct
0.000 0.000 0.000
0.000 0.500 0.193
0.500 0.000 0.693
0.500 0.500 0.500
0.000 0.000 0.405
0.500 0.500 0.905
0.000 0.500 0.755
0.500 0.000 0.255
```

=====

DFT (PBEsol) results for crystalline TlSiAu2 at its relaxed geometry.

Calculated values
As for the density of states at the Fermi level: 0.4955 states/eV/atom. The energy above the most stable polymorph in this dataset is 0.3210 eV/atom. Its symmetry is F-43m (216). The calculation puts the formation energy (no corrections) at 365.4 meV/atom. The calculation puts the total energy at -3.691 eV per atom. For the calculated volume, the calculation gives 304.7 Å³/cell.

The structure in POSCAR format:
```
TlSiAu2
1.0
6.729 0.000 0.000
0.000 6.729 0.000
0.000 0.000 6.729
Tl Si Au
4 4 8
Direct
0.000 0.000 0.000
0.000 0.500 0.500
0.500 0.000 0.500
0.500 0.500 0.000
0.250 0.250 0.250
0.250 0.750 0.750
0.750 0.250 0.750
0.750 0.750 0.250
0.000 0.000 0.500
0.000 0.500 0.000
0.250 0.250 0.750
0.250 0.750 0.250
0.500 0.000 0.000
0.500 0.500 0.500
0.750 0.250 0.250
0.750 0.750 0.750
```